Entry 1:
Here is an optimized crystal structure of BaLaCu from Alexandria. Energies are from PBEsol.

The structure in extended XYZ format:
```
3
Lattice="0.000 3.659 3.659 3.659 0.000 3.659 3.659 3.659 0.000" Properties=species:S:1:pos:R:3 pbc="T T T"
Ba 0.000 0.000 0.000
La 3.659 3.659 3.659
Cu 5.489 5.489 5.489
```

The energy above the lowest structure with this stoichiometry comes out at 86 meV per atom. The calculation puts the energy of formation from the pure elements at 0.29 eV/atom.

Entry 2:
Here is an optimized crystal structure of BaLaCu from Alexandria. Energies are from PBEsol.

The structure in extended XYZ format:
```
3
Lattice="4.094 0.000 0.000 -2.047 3.545 0.000 0.000 0.000 7.285" Properties=species:S:1:pos:R:3 pbc="T T T"
Ba 0.000 0.000 0.000
La 2.047 1.182 3.520
Cu 0.000 2.364 5.147
```

The energy above the lowest structure with this stoichiometry comes out at 0 meV per atom. The calculation puts the energy of formation from the pure elements at 0.20 eV/atom.

Entry 3:
Here is an optimized crystal structure of BaLaCu2 from Alexandria. Energies are from PBEsol.

The structure in extended XYZ format:
```
4
Lattice="0.000 3.701 3.701 3.701 0.000 3.701 3.701 3.701 0.000" Properties=species:S:1:pos:R:3 pbc="T T T"
Ba 0.000 0.000 0.000
La 3.701 3.701 3.701
Cu 1.851 1.851 1.851
Cu 5.552 5.552 5.552
```

The energy above the lowest structure with this stoichiometry comes out at 0 meV per atom. The calculation puts the energy of formation from the pure elements at 0.12 eV/atom.

Entry 4:
Here is an optimized crystal structure of BaLaCu2N from Alexandria. Energies are from PBEsol.

The structure in extended XYZ format:
```
5
Lattice="5.440 0.000 0.000 0.000 5.440 0.000 0.000 0.000 4.385" Properties=species:S:1:pos:R:3 pbc="T T T"
Ba 0.000 0.000 0.000
La 2.720 2.720 2.193
Cu 0.000 2.720 2.193
Cu 2.720 0.000 2.193
N 2.720 2.720 0.000
```

Entry 5:
Here is an optimized crystal structure of Ba2LaCu3O6 from Alexandria. Energies are from PBEsol.

The structure in extended XYZ format:
```
12
Lattice="3.885 0.000 0.000 0.000 3.885 0.000 0.000 0.000 11.928" Properties=species:S:1:pos:R:3 pbc="T T T"
Ba 0.000 0.000 2.290
Ba 0.000 0.000 9.638
La 0.000 0.000 5.964
Cu 1.942 1.942 0.000
Cu 1.942 1.942 4.221
Cu 1.942 1.942 7.706
O 0.000 1.942 4.388
O 0.000 1.942 7.539
O 1.942 0.000 4.388
O 1.942 0.000 7.539
O 1.942 1.942 1.784
O 1.942 1.942 10.143
```

Entry 6:
Here is an optimized crystal structure of Ba2Sr2La2Cu6O13 from Alexandria. Energies are from PBEsol.

The structure in extended XYZ format:
```
25
Lattice="0.000 3.902 11.638 3.827 0.000 11.638 3.827 3.902 0.000" Properties=species:S:1:pos:R:3 pbc="T T T"
Ba 5.786 3.902 11.638
Ba 1.867 3.902 11.638
Sr 5.775 3.902 7.245
Sr 1.879 3.902 7.245
La 5.737 3.902 15.344
La 1.916 3.902 15.344
Cu 3.827 1.868 9.419
Cu 3.827 1.959 13.571
Cu 3.827 1.936 17.141
Cu 3.827 5.935 9.419
Cu 3.827 5.844 13.571
Cu 3.827 5.867 17.141
O 3.827 3.902 2.106
O 1.913 1.951 2.147
O 3.827 2.227 7.661
O 3.827 3.902 5.241
O 1.913 1.951 5.292
O 3.827 2.061 11.218
O 3.827 5.576 7.661
O 3.827 3.902 13.770
O 5.740 5.853 13.785
O 3.827 5.742 11.218
O 5.740 5.853 16.930
O 3.827 3.902 17.004
O 3.827 3.902 20.811
```

Entry 7:
Here is an optimized crystal structure of BaLaTiCuO6 from Alexandria. Energies are from PBEsol.

The structure in extended XYZ format:
```
40
Lattice="5.560 0.000 0.000 0.000 3.907 0.000 0.000 0.000 21.955" Properties=species:S:1:pos:R:3 pbc="T T T"
Ba 1.390 0.000 1.417
Ba 1.390 0.000 17.655
Ba 4.170 0.000 4.300
Ba 4.170 0.000 20.538
La 1.390 0.000 7.037
La 1.390 0.000 12.304
La 4.170 0.000 9.651
La 4.170 0.000 14.918
Ti 1.390 1.954 4.262
Ti 1.390 1.954 20.528
Ti 4.170 1.954 1.427
Ti 4.170 1.954 17.693
Cu 1.390 1.954 9.651
Cu 1.390 1.954 14.964
Cu 4.170 1.954 6.991
Cu 4.170 1.954 12.303
O 0.000 1.954 0.000
O 0.000 1.954 10.977
O 0.004 1.954 13.624
O 0.004 1.954 19.111
O 0.089 1.954 5.690
O 1.390 0.000 4.315
O 1.390 0.000 9.628
O 1.390 0.000 14.828
O 1.390 0.000 20.529
O 2.691 1.954 5.690
O 2.776 1.954 13.624
O 2.777 1.954 19.111
O 2.780 1.954 0.000
O 2.780 1.954 10.977
O 2.784 1.954 2.843
O 2.785 1.954 8.330
O 2.869 1.954 16.265
O 4.170 0.000 1.425
O 4.170 0.000 7.127
O 4.170 0.000 12.327
O 4.170 0.000 17.639
O 5.471 1.954 16.265
O 5.557 1.954 2.843
O 5.556 1.954 8.330
```

Entry 8:
Here is an optimized crystal structure of Ba2La2Ti2Cu2O11 from Alexandria. Energies are from PBEsol.

The structure in extended XYZ format:
```
19
Lattice="3.906 0.000 0.000 0.000 3.906 0.000 0.000 0.000 15.805" Properties=species:S:1:pos:R:3 pbc="T T T"
Ba 0.000 0.000 3.694
Ba 0.000 0.000 12.111
La 0.000 0.000 0.000
La 0.000 0.000 7.902
Ti 1.953 1.953 5.889
Ti 1.953 1.953 9.916
Cu 1.953 1.953 1.736
Cu 1.953 1.953 14.069
O 0.000 1.953 1.565
O 0.000 1.953 6.089
O 0.000 1.953 9.715
O 0.000 1.953 14.240
O 1.953 0.000 1.565
O 1.953 0.000 6.089
O 1.953 0.000 9.715
O 1.953 0.000 14.240
O 1.953 1.953 4.044
O 1.953 1.953 7.902
O 1.953 1.953 11.761
```

Entry 9:
Here is an optimized crystal structure of Ba2LaTlCu2O7 from Alexandria. Energies are from PBEsol.

The structure in extended XYZ format:
```
13
Lattice="3.880 0.000 0.000 0.000 12.586 0.000 0.000 0.000 3.909" Properties=species:S:1:pos:R:3 pbc="T T T"
Ba 0.000 2.583 0.000
Ba 0.000 10.003 0.000
La 0.000 6.293 0.004
Tl 1.940 0.000 2.189
Cu 1.940 4.533 1.954
Cu 1.940 8.053 1.954
O 0.000 0.000 3.458
O 0.000 4.738 1.962
O 0.000 7.847 1.962
O 1.940 2.105 1.892
O 1.940 4.723 3.908
O 1.940 7.863 3.908
O 1.940 10.481 1.892
```

Entry 10:
Here is an optimized crystal structure of Ba3LaY2Cu6O14 from Alexandria. Energies are from PBEsol.

The structure in extended XYZ format:
```
26
Lattice="0.000 3.868 11.439 3.774 0.000 11.439 3.774 3.868 0.000" Properties=species:S:1:pos:R:3 pbc="T T T"
Ba 0.000 0.000 0.000
Ba 3.774 3.868 4.234
Ba 3.774 3.868 15.621
La 3.774 3.868 11.443
Y 3.774 3.868 7.857
Y 3.774 3.868 19.247
Cu 1.887 1.934 2.063
Cu 1.887 1.934 6.212
Cu 1.887 1.934 9.484
Cu 5.662 5.802 13.503
Cu 5.662 5.802 17.651
Cu 5.662 5.802 20.923
O 1.887 1.934 0.207
O 3.774 1.892 6.514
O 5.616 3.868 6.426
O 5.758 3.868 9.270
O 1.887 1.934 3.912
O 3.774 2.132 9.414
O 5.403 3.868 13.348
O 5.662 5.802 11.646
O 1.933 3.868 6.426
O 3.774 5.844 6.514
O 3.774 5.604 9.414
O 1.791 3.868 9.270
O 5.662 5.802 15.351
O 2.146 3.868 13.348
```

Entry 11:
Here is an optimized crystal structure of BaLaCuSe3 from Alexandria. Energies are from PBEsol.

The structure in extended XYZ format:
```
24
Lattice="11.127 0.000 0.000 0.000 4.237 0.000 0.000 0.000 13.725" Properties=species:S:1:pos:R:3 pbc="T T T"
Ba 2.421 1.059 0.065
Ba 3.142 3.178 6.928
Ba 7.985 1.059 6.797
Ba 8.705 3.178 13.660
La 0.152 3.178 3.647
La 5.411 1.059 10.510
La 5.715 3.178 3.216
La 10.975 1.059 10.078
Cu 2.638 3.178 10.721
Cu 2.925 1.059 3.859
Cu 8.202 3.178 9.866
Cu 8.488 1.059 3.004
Se 0.586 3.178 12.059
Se 1.088 1.059 5.474
Se 2.705 1.059 9.357
Se 2.859 3.178 2.495
Se 4.475 3.178 12.336
Se 4.977 1.059 5.197
Se 6.150 3.178 8.528
Se 6.651 1.059 1.389
Se 8.268 1.059 11.230
Se 8.422 3.178 4.368
Se 10.039 3.178 8.252
Se 10.540 1.059 1.666
```

Entry 12:
Here is an optimized crystal structure of BaLaCuTe3 from Alexandria. Energies are from PBEsol.

The structure in extended XYZ format:
```
24
Lattice="11.810 0.000 0.000 0.000 4.471 0.000 0.000 0.000 14.640" Properties=species:S:1:pos:R:3 pbc="T T T"
Ba 2.648 1.118 0.047
Ba 3.258 3.353 7.367
Ba 8.553 1.118 7.274
Ba 9.163 3.353 14.594
La 0.196 3.353 3.798
La 5.709 1.118 11.119
La 6.101 3.353 3.522
La 11.614 1.118 10.842
Cu 2.825 3.353 11.457
Cu 3.080 1.118 4.137
Cu 8.730 3.353 10.503
Cu 8.985 1.118 3.183
Te 0.644 3.353 12.952
Te 1.083 1.118 5.841
Te 2.814 1.118 9.963
Te 3.091 3.353 2.643
Te 4.822 3.353 13.161
Te 5.261 1.118 5.632
Te 6.550 3.353 9.008
Te 6.988 1.118 1.479
Te 8.719 1.118 11.997
Te 8.996 3.353 4.677
Te 10.727 3.353 8.799
Te 11.166 1.118 1.688
```

Entry 13:
Here is an optimized crystal structure of BaLi2Cu from Alexandria. Energies are from PBEsol.

The structure in extended XYZ format:
```
4
Lattice="3.973 -2.291 0.000 3.973 2.291 0.000 -2.657 0.000 5.645" Properties=species:S:1:pos:R:3 pbc="T T T"
Ba 0.000 0.000 0.000
Li 2.651 0.000 3.042
Li 5.301 0.000 2.427
Cu 0.002 0.000 3.319
```

The energy above the lowest structure with this stoichiometry comes out at 0 meV per atom. The calculation puts the energy of formation from the pure elements at 0.07 eV/atom.

Entry 14:
Here is an optimized crystal structure of BaLiCu2 from Alexandria. Energies are from PBEsol.

The structure in extended XYZ format:
```
4
Lattice="2.168 1.252 5.474 -2.168 1.252 5.474 0.000 -2.504 5.474" Properties=species:S:1:pos:R:3 pbc="T T T"
Ba 0.000 0.000 0.000
Li 0.000 0.000 8.210
Cu 0.000 0.000 3.100
Cu 0.000 0.000 13.321
```

The energy above the lowest structure with this stoichiometry comes out at 0 meV per atom. The calculation puts the energy of formation from the pure elements at 0.04 eV/atom.

Entry 15:
Here is an optimized crystal structure of BaLiCu2 from Alexandria. Energies are from PBEsol.

The structure in extended XYZ format:
```
4
Lattice="3.724 -2.149 0.000 3.724 2.149 0.000 -2.467 0.000 5.525" Properties=species:S:1:pos:R:3 pbc="T T T"
Ba 0.000 0.000 0.000
Li 4.971 0.000 2.453
Cu 0.006 0.000 3.299
Cu 2.492 0.000 3.105
```

The energy above the lowest structure with this stoichiometry comes out at 24 meV per atom. The calculation puts the energy of formation from the pure elements at 0.06 eV/atom.

Entry 16:
Here is an optimized crystal structure of Ba2Li2Cu from Alexandria. Energies are from PBEsol.

The structure in extended XYZ format:
```
5
Lattice="-1.984 1.984 9.941 1.984 -1.984 9.941 1.984 1.984 -9.941" Properties=species:S:1:pos:R:3 pbc="T T T"
Ba 0.000 0.000 1.830
Ba 0.000 0.000 18.053
Li 1.984 0.000 4.971
Li 0.000 1.984 4.971
Cu 0.000 0.000 9.941
```

The calculation puts the energy of formation from the pure elements at 0.10 eV/atom.

Entry 17:
Here is an optimized crystal structure of BaLi2Cu from Alexandria. Energies are from PBEsol.

The structure in extended XYZ format:
```
4
Lattice="3.951 0.000 0.000 0.000 4.203 0.000 -1.955 0.000 6.338" Properties=species:S:1:pos:R:3 pbc="T T T"
Ba 0.000 0.000 0.000
Li 0.001 2.102 3.347
Li 1.972 0.000 2.943
Cu 1.976 2.102 1.506
```

The energy above the lowest structure with this stoichiometry comes out at 34 meV per atom. The calculation puts the energy of formation from the pure elements at 0.10 eV/atom.

Entry 18:
Here is an optimized crystal structure of BaLi2Cu from Alexandria. Energies are from PBEsol.

The structure in extended XYZ format:
```
4
Lattice="0.000 3.108 5.646 3.029 0.000 5.646 3.029 3.108 0.000" Properties=species:S:1:pos:R:3 pbc="T T T"
Ba 0.000 0.000 0.000
Li 3.029 1.554 2.823
Li 0.000 1.554 2.823
Cu 3.029 3.108 5.646
```

The energy above the lowest structure with this stoichiometry comes out at 189 meV per atom. The calculation puts the energy of formation from the pure elements at 0.26 eV/atom.

Entry 19:
Here is an optimized crystal structure of BaLiCu2 from Alexandria. Energies are from PBEsol.

The structure in extended XYZ format:
```
4
Lattice="3.909 0.000 0.000 0.000 4.221 0.000 -1.963 0.000 5.679" Properties=species:S:1:pos:R:3 pbc="T T T"
Ba 0.000 0.000 0.000
Li -0.002 2.110 3.126
Cu 1.954 2.110 1.452
Cu 1.968 0.000 2.552
```

The energy above the lowest structure with this stoichiometry comes out at 105 meV per atom. The calculation puts the energy of formation from the pure elements at 0.14 eV/atom.

Entry 20:
Here is an optimized crystal structure of Ba4LiY2Cu5O14 from Alexandria. Energies are from PBEsol.

The structure in extended XYZ format:
```
26
Lattice="3.791 -3.857 0.000 3.791 3.857 0.000 -3.788 0.000 11.571" Properties=species:S:1:pos:R:3 pbc="T T T"
Ba 3.791 1.928 0.000
Ba 3.794 1.928 4.258
Ba 3.791 -1.928 0.000
Ba 3.794 -1.928 4.258
Li -1.893 0.000 9.869
Y 0.003 1.928 7.965
Y 0.003 -1.928 7.965
Cu -1.893 0.000 6.201
Cu 1.896 0.000 2.137
Cu 1.898 0.000 6.207
Cu 1.899 0.000 9.432
Cu 5.688 0.000 2.172
O 1.907 1.928 2.142
O 1.894 0.000 0.287
O 1.899 1.933 6.499
O 0.000 0.000 6.497
O 0.058 0.000 9.321
O 1.899 1.844 9.327
O 1.897 0.000 3.984
O 1.907 -1.928 2.142
O 5.685 0.000 0.351
O 3.796 0.000 6.497
O 1.899 -1.933 6.499
O 1.899 -1.844 9.327
O 3.740 0.000 9.321
O 5.688 0.000 4.016
```

no.,raw total energy (eV/atom)
1,-3.66
2,-3.74
3,-3.92
4,-4.65
5,-6.41
6,-6.39
7,-7.74
8,-7.87
9,-6.29
10,-6.76
11,-5.51
12,-5.01
13,-2.53
14,-3.16
15,-3.14
16,-2.42
17,-2.50
18,-2.35
19,-3.05
20,-6.53